1.
Below is MgCr2Pt after structural relaxation, with properties calculated at the PBE level.

POSCAR file:
```
MgCr2Pt
1.0
2.499 -4.260 0.000
2.499 4.260 0.000
0.000 0.000 2.621
Mg Cr Pt
1 2 1
direct
0.000 0.000 0.000
0.000 0.500 0.500
0.500 0.000 0.500
0.500 0.500 0.000
```

Computed properties:
The total energy is -0.48129 Ry per atom. The total magnetization is 0.000 μB per atom. As for the theoretical density: 9.62 g cm⁻³.

2.
Below is TaGaN2O after structural relaxation, with properties calculated at the PBE level.

POSCAR file:
```
TaGaN2O
1.0
3.820 0.000 0.000
0.000 3.820 0.000
0.000 0.000 3.630
Ta Ga N O
1 1 2 1
direct
0.000 0.000 0.000
0.500 0.500 0.500
0.000 0.500 0.500
0.500 0.000 0.500
0.500 0.500 0.000
```

Computed properties:
The total energy is -0.50973 Ry per atom. The total magnetization is 0.000 μB per atom. As for the theoretical density: 9.24 g cm⁻³. The uncorrected formation energy is 0.3624 eV per atom.

3.
Below is Pm2PuGe3Pd4 after structural relaxation, with properties calculated at the PBE level.

POSCAR file:
```
Pm2PuGe3Pd4
1.0
4.313 0.000 0.000
0.000 4.313 0.000
0.000 0.000 11.150
Pm Pu Ge Pd
2 1 3 4
direct
0.000 0.500 0.223
0.500 0.000 0.777
0.000 0.000 0.500
0.000 0.500 0.879
0.500 0.000 0.121
0.500 0.500 0.500
0.000 0.000 0.000
0.000 0.500 0.659
0.500 0.000 0.341
0.500 0.500 0.000
```

Computed properties:
The total energy is -0.48325 Ry per atom. The total magnetization is 0.556 μB per atom. As for the theoretical density: 9.43 g cm⁻³.

4.
Below is BaLi3Sb2 after structural relaxation, with properties calculated at the PBE level.

POSCAR file:
```
BaLi3Sb2
1.0
8.532 -2.397 0.000
8.532 2.397 0.000
-3.536 0.000 7.678
Ba Li Sb
2 6 4
direct
0.150 0.150 0.081
0.850 0.850 0.919
0.025 0.025 0.355
0.313 0.313 0.541
0.396 0.396 0.312
0.604 0.604 0.688
0.687 0.687 0.459
0.975 0.975 0.645
0.179 0.179 0.667
0.479 0.479 0.816
0.521 0.521 0.184
0.821 0.821 0.333
```

Computed properties:
The total energy is -0.25120 Ry per atom. The total magnetization is 0.000 μB per atom. As for the theoretical density: 4.25 g cm⁻³. The uncorrected formation energy is -0.7662 eV per atom.

Which of these has the lowest theoretical density? BaLi3Sb2

theoretical density of number 4 (BaLi3Sb2)? 4.25 g cm⁻³

total magnetization of number 3 (Pm2PuGe3Pd4)? 0.556 μB per atom

Copy entry 1 word for word.
Below is MgCr2Pt after structural relaxation, with properties calculated at the PBE level.

POSCAR file:
```
MgCr2Pt
1.0
2.499 -4.260 0.000
2.499 4.260 0.000
0.000 0.000 2.621
Mg Cr Pt
1 2 1
direct
0.000 0.000 0.000
0.000 0.500 0.500
0.500 0.000 0.500
0.500 0.500 0.000
```

Computed properties:
The total energy is -0.48129 Ry per atom. The total magnetization is 0.000 μB per atom. As for the theoretical density: 9.62 g cm⁻³.